# 1
MnTlPtSe: optimized geometry, GGA-PBE.

Total magnetization = 4.33 μB/f.u.
Formation energy from raw total energies = -0.074 eV/atom
Total DFT energy (no corrections) = -5.340 eV/atom
Symmetry = Amm2, No. 38
V = 89 Å³/cell

Unit cell a=3.517 b=3.789 c=6.907 alpha=90.00 beta=75.26 gamma=90.00
Atoms (fractional coordinates):
Se 0.789 0.500 0.228
Pt 0.989 0.000 0.829
Mn 0.342 0.000 0.122
Tl 0.569 0.500 0.668

# 2
VAuSe2: optimized geometry, GGA-PBE.

Total magnetization = 2.73 μB/f.u.
Formation energy from raw total energies = 0.386 eV/atom
Total DFT energy (no corrections) = -4.455 eV/atom
Symmetry = R-3m, No. 166
V = 100 Å³/cell

Unit cell a=8.132 b=8.132 c=8.132 alpha=27.28 beta=27.28 gamma=27.28
Atoms (fractional coordinates):
Se 0.102 0.102 0.102
Se 0.898 0.898 0.898
Au 0.500 0.500 0.500
V 0.000 0.000 0.000

# 3
Tb4Sm11Ho9: optimized geometry, GGA-PBE.

Total magnetization = 0.00 μB/f.u.
Total DFT energy (no corrections) = -4.595 eV/atom
Symmetry = Cmmm, No. 65
V = 785 Å³/cell
Energy of formation from the pure elements = 0.06 eV per atom

Unit cell a=3.657 b=15.274 c=15.274 alpha=113.02 beta=90.00 gamma=90.00
Atoms (fractional coordinates):
Sm 0.000 0.406 0.044
Sm 0.000 0.840 0.160
Sm 0.000 0.000 0.000
Sm 0.000 0.292 0.292
Sm 0.000 0.708 0.708
Sm 0.000 0.160 0.840
Sm 0.000 0.368 0.632
Sm 0.000 0.632 0.368
Sm 0.000 0.044 0.406
Sm 0.000 0.956 0.594
Sm 0.000 0.594 0.956
Ho 0.500 0.368 0.835
Ho 0.500 0.835 0.368
Ho 0.500 0.500 0.500
Ho 0.500 0.068 0.213
Ho 0.500 0.165 0.632
Ho 0.500 0.787 0.932
Ho 0.500 0.632 0.165
Ho 0.500 0.213 0.068
Ho 0.500 0.932 0.787
Tb 0.500 0.757 0.555
Tb 0.500 0.243 0.445
Tb 0.500 0.555 0.757
Tb 0.500 0.445 0.243

# 4
AcPr5Dy2Y: optimized geometry, GGA-PBE.

Total magnetization = 0.00 μB/f.u.
Total DFT energy (no corrections) = -4.711 eV/atom
Symmetry = Cmc2_1, No. 36
V = 663 Å³/cell
Energy of formation from the pure elements = 0.14 eV per atom

Unit cell a=5.625 b=12.578 c=9.616 alpha=90.00 beta=90.00 gamma=102.92
Atoms (fractional coordinates):
Pr 0.991 0.982 0.038
Pr 0.525 0.049 0.255
Pr 0.689 0.378 0.223
Pr 0.393 0.787 0.033
Pr 0.259 0.518 0.356
Pr 0.009 0.018 0.538
Pr 0.607 0.213 0.533
Pr 0.741 0.482 0.856
Pr 0.311 0.622 0.723
Pr 0.475 0.951 0.755
Y 0.766 0.533 0.531
Y 0.234 0.467 0.031
Dy 0.112 0.224 0.289
Dy 0.888 0.776 0.789
Dy 0.826 0.652 0.173
Dy 0.174 0.348 0.673
Ac 0.603 0.205 0.926
Ac 0.397 0.795 0.426

# 5
Nd4YTh3As8: optimized geometry, GGA-PBE.

Total magnetization = 0.00 μB/f.u.
Total DFT energy (no corrections) = -6.807 eV/atom
Symmetry = R-3m, No. 166
V = 434 Å³/cell
Energy of formation from the pure elements = -1.50 eV per atom

Unit cell a=8.497 b=8.500 c=8.497 alpha=119.99 beta=120.00 gamma=90.00
Atoms (fractional coordinates):
Nd 0.500 0.000 0.500
Nd 0.000 0.000 0.500
Nd 0.000 0.000 0.000
Nd 0.500 0.000 0.000
Th 0.000 0.500 0.500
Th 0.500 0.500 0.500
Th 0.500 0.500 0.000
As 0.753 0.256 0.003
As 0.247 0.744 0.494
As 0.753 0.256 0.506
As 0.750 0.744 0.997
As 0.749 0.747 0.498
As 0.251 0.253 0.502
As 0.250 0.256 0.003
As 0.247 0.744 0.997
Y 0.000 0.500 0.000

# 6
SrLiAcTl: optimized geometry, GGA-PBE.

Total magnetization = 0.00 μB/f.u.
Total DFT energy (no corrections) = -2.720 eV/atom
Symmetry = F-43m, No. 216
V = 137 Å³/cell
Energy of formation from the pure elements = -0.20 eV per atom

Unit cell a=5.786 b=5.786 c=5.786 alpha=60.00 beta=60.00 gamma=60.00
Atoms (fractional coordinates):
Tl 0.500 0.500 0.500
Li 0.000 0.000 0.000
Sr 0.250 0.250 0.250
Ac 0.750 0.750 0.750

# 7
U2H2SeCl: optimized geometry, GGA-PBE.

Total magnetization = 5.34 μB/f.u.
Total DFT energy (no corrections) = -6.477 eV/atom
Symmetry = P-3m1, No. 164
V = 101 Å³/cell

Unit cell a=3.780 b=3.780 c=8.150 alpha=90.00 beta=90.00 gamma=120.00
Atoms (fractional coordinates):
Cl 0.000 0.000 0.000
U 0.333 0.667 0.729
U 0.667 0.333 0.271
Se 0.000 0.000 0.500
H 0.667 0.333 0.771
H 0.333 0.667 0.229

# 8
NpNb2Tc: optimized geometry, GGA-PBE.

Total magnetization = 3.20 μB/f.u.
Total DFT energy (no corrections) = -10.652 eV/atom
Symmetry = P4/mmm, No. 123
V = 72 Å³/cell
Energy of formation from the pure elements = 0.21 eV per atom

Unit cell a=3.164 b=4.763 c=4.763 alpha=90.00 beta=90.00 gamma=90.00
Atoms (fractional coordinates):
Nb 0.000 0.500 0.000
Nb 0.000 0.000 0.500
Np 0.500 0.000 0.000
Tc 0.500 0.500 0.500

# 9
Nd2MgTlN: optimized geometry, GGA-PBE.

Total magnetization = 0.00 μB/f.u.
Formation energy from raw total energies = -0.695 eV/atom
Total DFT energy (no corrections) = -5.059 eV/atom
Symmetry = P4/mmm, No. 123
V = 114 Å³/cell

Unit cell a=4.405 b=5.097 c=5.097 alpha=90.00 beta=90.00 gamma=90.00
Atoms (fractional coordinates):
Mg 0.500 0.000 0.000
Nd 0.000 0.000 0.500
Nd 0.000 0.500 0.000
N 0.000 0.000 0.000
Tl 0.500 0.500 0.500

# 10
FeSiAs2: optimized geometry, GGA-PBE.

Total magnetization = 0.57 μB/f.u.
Formation energy from raw total energies = 0.098 eV/atom
Total DFT energy (no corrections) = -5.698 eV/atom
Symmetry = Cmmm, No. 65
V = 70 Å³/cell

Unit cell a=3.337 b=5.252 c=5.252 alpha=49.42 beta=90.00 gamma=90.00
Atoms (fractional coordinates):
As 0.000 0.071 0.071
As 0.000 0.429 0.429
Fe 0.500 0.250 0.250
Si 0.500 0.750 0.750

# 11
ScMo2Se: optimized geometry, GGA-PBE.

Total magnetization = 0.00 μB/f.u.
Formation energy from raw total energies = 0.385 eV/atom
Total DFT energy (no corrections) = -7.484 eV/atom
Symmetry = Fm-3m, No. 225
V = 66 Å³/cell

Unit cell a=4.527 b=4.527 c=4.527 alpha=60.00 beta=60.00 gamma=60.00
Atoms (fractional coordinates):
Se 0.500 0.500 0.500
Mo 0.250 0.250 0.250
Mo 0.750 0.750 0.750
Sc 0.000 0.000 0.000

# 12
HgRhCl2: optimized geometry, GGA-PBE.

Total magnetization = 1.31 μB/f.u.
Formation energy from raw total energies = 0.496 eV/atom
Total DFT energy (no corrections) = -2.340 eV/atom
Symmetry = F-43m, No. 216
V = 80 Å³/cell

Unit cell a=4.834 b=4.834 c=4.834 alpha=60.00 beta=60.00 gamma=60.00
Atoms (fractional coordinates):
Cl 0.000 0.000 0.000
Cl 0.750 0.750 0.750
Rh 0.250 0.250 0.250
Hg 0.500 0.500 0.500

# 13
AcSbSe2O: optimized geometry, GGA-PBE.

Total magnetization = 0.00 μB/f.u.
Formation energy from raw total energies = -1.663 eV/atom
Total DFT energy (no corrections) = -5.694 eV/atom
Symmetry = P4/nmm, No. 129
V = 259 Å³/cell

Unit cell a=4.180 b=4.180 c=14.806 alpha=90.00 beta=90.00 gamma=90.00
Atoms (fractional coordinates):
Se 0.000 0.500 0.105
Se 0.500 0.000 0.895
Se 0.000 0.500 0.699
Se 0.500 0.000 0.301
O 0.000 0.000 0.500
O 0.500 0.500 0.500
Sb 0.000 0.500 0.872
Sb 0.500 0.000 0.128
Ac 0.500 0.000 0.589
Ac 0.000 0.500 0.411

# 14
TiV: optimized geometry, GGA-PBE.

Total magnetization = 0.00 μB/f.u.
Total DFT energy (no corrections) = -8.457 eV/atom
Symmetry = C2/m, No. 12
V = 123 Å³/cell
Energy of formation from the pure elements = 0.05 eV per atom

Unit cell a=4.492 b=3.136 c=9.716 alpha=90.00 beta=116.22 gamma=90.00
Atoms (fractional coordinates):
Ti 0.859 0.500 0.117
Ti 0.141 0.500 0.883
Ti 0.859 0.000 0.617
Ti 0.141 0.000 0.383
V 0.375 0.500 0.648
V 0.625 0.000 0.852
V 0.375 0.000 0.148
V 0.625 0.500 0.352

# 15
Pm2PuScSe4: optimized geometry, GGA-PBE.

Total magnetization = 5.85 μB/f.u.
Formation energy from raw total energies = -1.695 eV/atom
Total DFT energy (no corrections) = -7.208 eV/atom
Symmetry = P2/m, No. 10
V = 196 Å³/cell

Unit cell a=4.080 b=7.100 c=7.146 alpha=109.05 beta=90.00 gamma=90.00
Atoms (fractional coordinates):
Se 0.000 0.245 0.762
Se 0.500 0.765 0.768
Se 0.000 0.755 0.238
Se 0.500 0.235 0.232
Pm 0.500 0.000 0.500
Pm 0.000 0.500 0.500
Sc 0.000 0.000 0.000
Pu 0.500 0.500 0.000

# 16
Th3HgCN: optimized geometry, GGA-PBE.

Total magnetization = 0.00 μB/f.u.
Formation energy from raw total energies = -0.654 eV/atom
Total DFT energy (no corrections) = -7.339 eV/atom
Symmetry = P2_1/m, No. 11
V = 287 Å³/cell

Unit cell a=3.864 b=7.693 c=10.358 alpha=111.37 beta=90.00 gamma=90.00
Atoms (fractional coordinates):
C 0.250 0.681 0.144
C 0.750 0.319 0.856
Th 0.750 0.219 0.572
Th 0.250 0.088 0.833
Th 0.250 0.570 0.882
Th 0.750 0.430 0.118
Th 0.750 0.912 0.167
Th 0.250 0.781 0.428
Hg 0.250 0.298 0.325
Hg 0.750 0.702 0.675
N 0.250 0.080 0.608
N 0.750 0.920 0.392

# 17
PmPrBeAl: optimized geometry, GGA-PBE.

Total magnetization = 0.00 μB/f.u.
Total DFT energy (no corrections) = -4.293 eV/atom
Symmetry = F-43m, No. 216
V = 97 Å³/cell
Energy of formation from the pure elements = -0.04 eV per atom

Unit cell a=5.156 b=5.156 c=5.156 alpha=60.00 beta=60.00 gamma=60.00
Atoms (fractional coordinates):
Al 0.500 0.500 0.500
Be 0.000 0.000 0.000
Pr 0.750 0.750 0.750
Pm 0.250 0.250 0.250

# 18
Rb2Cd2In3: optimized geometry, GGA-PBE.

Total magnetization = 0.00 μB/f.u.
Total DFT energy (no corrections) = -1.728 eV/atom
Symmetry = C2/m, No. 12
V = 239 Å³/cell
Energy of formation from the pure elements = -0.02 eV per atom

Unit cell a=4.538 b=6.800 c=8.420 alpha=101.88 beta=90.00 gamma=109.49
Atoms (fractional coordinates):
Rb 0.642 0.284 0.341
Rb 0.358 0.716 0.659
In 0.000 0.000 0.000
In 0.318 0.635 0.105
In 0.682 0.365 0.895
Cd 0.073 0.146 0.671
Cd 0.927 0.854 0.329

# 19
FeBi2Sb2: optimized geometry, GGA-PBE.

Total magnetization = 2.04 μB/f.u.
Formation energy from raw total energies = 0.236 eV/atom
Total DFT energy (no corrections) = -4.658 eV/atom
Symmetry = P4/mbm, No. 127
V = 282 Å³/cell

Unit cell a=6.738 b=6.738 c=6.212 alpha=90.00 beta=90.00 gamma=90.00
Atoms (fractional coordinates):
Bi 0.729 0.229 0.500
Bi 0.229 0.271 0.500
Bi 0.771 0.729 0.500
Bi 0.271 0.771 0.500
Fe 0.000 0.000 0.000
Fe 0.500 0.500 0.000
Sb 0.154 0.346 0.000
Sb 0.346 0.846 0.000
Sb 0.654 0.154 0.000
Sb 0.846 0.654 0.000

# 20
FeTc2Cl: optimized geometry, GGA-PBE.

Total magnetization = 2.57 μB/f.u.
Formation energy from raw total energies = 0.774 eV/atom
Total DFT energy (no corrections) = -6.987 eV/atom
Symmetry = Pmmm, No. 47
V = 58 Å³/cell

Unit cell a=2.816 b=4.609 c=4.482 alpha=90.00 beta=90.00 gamma=90.00
Atoms (fractional coordinates):
Tc 0.500 0.500 0.000
Tc 0.000 0.000 0.000
Cl 0.500 0.000 0.500
Fe 0.000 0.500 0.500